Entry from Alexandria via LeMat-Bulk: Pr4Dy3S8 after structural relaxation (GGA-PBE).

Results
Formation energy from raw total energies (kcal/mol of atoms): -46.38
Total energy (eV per atom): -6.408
D(E_F) (states/eV per cell): 6.64
SG: C2/m (12)
Relative energy among the computed polymorphs (meV per atom): 0

Cell lengths 8.0336, 8.0217, 8.0217 Å; angles 89.97, 120.09, 120.09 degrees
Last column: nearest neighbours and their distance in Å.
Fractional coordinates of all 15 atoms:
S 0.5000 0.7441 0.2559  3 Dy 2.77-2.84, 3 Pr 2.83-2.90
S 0.0000 0.7457 0.2543  2 Dy 2.83, 3 Pr 2.84-2.88
S 0.5000 0.2559 0.7441  3 Dy 2.77-2.84, 3 Pr 2.83-2.90
S 0.0000 0.2543 0.7457  2 Dy 2.83, 3 Pr 2.84-2.88
S 0.5092 0.2605 0.2605  3 Dy 2.77-2.84, 2 Pr 2.89-2.90
S 0.9875 0.7399 0.7399  1 Dy 2.76, 4 Pr 2.84-2.90
S 0.0125 0.2601 0.2601  1 Dy 2.76, 4 Pr 2.84-2.90
S 0.4908 0.7395 0.7395  3 Dy 2.77-2.84, 2 Pr 2.89-2.90
Pr 0.5000 0.0000 0.0000  6 S 2.90
Pr 0.0000 0.0000 0.0000  6 S 2.88-2.89
Pr 0.0000 0.0000 0.5000  6 S 2.83-2.84
Pr 0.0000 0.5000 0.0000  6 S 2.83-2.84
Dy 0.5000 0.5000 0.5000  6 S 2.76-2.77
Dy 0.5000 0.5000 0.0000  6 S 2.83-2.84
Dy 0.5000 0.0000 0.5000  6 S 2.83-2.84